A plane-wave DFT calculation with PBE was carried out for crystalline ZrBeRe at its relaxed geometry.

Summary:
space group = No. 42
ΔH_f (0 K) = 130 meV per atom
electronic total energy = -8.11 eV per atom
polymorph energy (0 for the lowest one) = 404.7 meV per atom

Lattice parameters (Å, degrees): 6.2606 6.1037 2.8309 79.88 73.69 26.43
Closest atoms and distances in Å follow each position.
Fractional positions:
Re: 0.6458 0.6458 0.3542  2 Be 2.33
Zr: 0.3399 0.3399 0.6601  2 Be 2.68, 4 Zr 2.83, 2 Re 2.86
Be: 0.0142 0.0142 0.9858  2 Re 2.33



A plane-wave DFT calculation with PBE was carried out for crystalline Tb2NdMg2 at its relaxed geometry.

Summary:
space group = No. 127
ΔH_f (0 K) = 47 meV per atom
electronic total energy = -3.40 eV per atom
polymorph energy (0 for the lowest one) = 119.3 meV per atom

Lattice parameters (Å, degrees): 3.6432 9.0192 9.0192 90.00 90.00 90.00
Closest atoms and distances in Å follow each position.
Fractional positions:
Mg: 0.5000 0.6652 0.8348  6 Tb 3.16-3.25
Mg: 0.5000 0.3348 0.1652  6 Tb 3.16-3.25
Mg: 0.5000 0.1652 0.6652  6 Tb 3.16-3.25
Mg: 0.5000 0.8348 0.3348  6 Tb 3.16-3.25
Tb: 0.0000 0.3680 0.8680  6 Mg 3.16-3.25, 1 Tb 3.37, 2 Nd 3.53
Tb: 0.0000 0.8680 0.6320  6 Mg 3.16-3.25, 1 Tb 3.37, 2 Nd 3.53
Tb: 0.0000 0.6320 0.1320  6 Mg 3.16-3.25, 1 Tb 3.37, 2 Nd 3.53
Tb: 0.0000 0.1320 0.3680  6 Mg 3.16-3.25, 1 Tb 3.37, 2 Nd 3.53
Nd: 0.0000 0.0000 0.0000  4 Tb 3.53, 2 Nd 3.64, 8 Mg 3.83
Nd: 0.0000 0.5000 0.5000  4 Tb 3.53, 2 Nd 3.64, 8 Mg 3.83